1.
Below is crystalline SiHgPO at its relaxed geometry, with properties calculated at the PBE level.

Total DFT energy (no corrections) = -39.11 eV for the cell shown
Theoretical density = 6.052 g/cm³

a = 2.7765 Å, b = 9.0240 Å, c = 6.0369 Å
α = 90.00°, β = 90.00°, γ = 90.00°
Space group Pmc2_1 (No. 26)
Symmetry-distinct sites (fractional):
1 Si 0.0000 0.1026 0.0000 [2 per cell]
2 Hg 0.5000 0.4629 0.5894 [2 per cell]
3 P 0.0000 0.1316 0.3726 [2 per cell]
4 O 0.5000 0.1894 0.9124 [2 per cell]


2.
Below is crystalline SiHgPO at its relaxed geometry, with properties calculated at the PBE level.

Total DFT energy (no corrections) = -31.84 eV for the cell shown
Theoretical density = 6.697 g/cm³

a = 3.8352 Å, b = 3.8352 Å, c = 9.2940 Å
α = 90.00°, β = 90.00°, γ = 90.00°
Space group P4/nmm (No. 129, origin choice 2)
Symmetry-distinct sites (fractional):
1 Si 0.2500 0.2500 0.0928 [2 per cell]
2 Hg 0.2500 0.7500 0.5000 [2 per cell]
3 P 0.2500 0.2500 0.7038 [2 per cell]
4 O 0.2500 0.7500 0.0000 [2 per cell]


3.
Below is crystalline SiHgPO at its relaxed geometry, with properties calculated at the PBE level.

Total DFT energy (no corrections) = -39.26 eV for the cell shown
Theoretical density = 6.288 g/cm³

a = 3.5332 Å, b = 7.6584 Å, c = 5.3806 Å
α = 90.00°, β = 90.00°, γ = 90.00°
Space group Pmc2_1 (No. 26)
Symmetry-distinct sites (fractional):
1 Si 0.0000 0.1226 0.0000 [2 per cell]
2 Hg 0.5000 0.3211 0.4976 [2 per cell]
3 P 0.5000 0.3015 0.9965 [2 per cell]
4 O 0.0000 0.0034 0.2533 [2 per cell]


4.
Below is crystalline SnHgPO at its relaxed geometry, with properties calculated at the PBE level.

Total DFT energy (no corrections) = -31.50 eV for the cell shown
Theoretical density = 6.855 g/cm³

a = 3.9284 Å, b = 6.7518 Å, c = 6.6897 Å
α = 90.00°, β = 90.00°, γ = 90.00°
Space group Pmc2_1 (No. 26)
Symmetry-distinct sites (fractional):
1 Sn 0.0000 0.1291 0.0000 [2 per cell]
2 Hg 0.5000 0.3242 0.4685 [2 per cell]
3 P 0.5000 0.3209 0.8480 [2 per cell]
4 O 0.0000 0.1298 0.3228 [2 per cell]


5.
Below is crystalline SnHgPO at its relaxed geometry, with properties calculated at the PBE level.

Total DFT energy (no corrections) = -31.54 eV for the cell shown
Theoretical density = 7.117 g/cm³

a = 4.2146 Å, b = 6.4149 Å, c = 6.3216 Å
α = 90.00°, β = 90.00°, γ = 90.00°
Space group Pmc2_1 (No. 26)
Symmetry-distinct sites (fractional):
1 Sn 0.0000 0.2266 0.0000 [2 per cell]
2 Hg 0.5000 0.3047 0.5507 [2 per cell]
3 P 0.0000 0.1702 0.4085 [2 per cell]
4 O 0.5000 0.3129 0.9419 [2 per cell]


6.
Below is crystalline SnHgPO at its relaxed geometry, with properties calculated at the PBE level.

Total DFT energy (no corrections) = -31.30 eV for the cell shown
Theoretical density = 7.715 g/cm³

a = 4.0292 Å, b = 4.0292 Å, c = 9.7122 Å
α = 90.00°, β = 90.00°, γ = 90.00°
Space group P4/nmm (No. 129, origin choice 2)
Symmetry-distinct sites (fractional):
1 Sn 0.2500 0.2500 0.1150 [2 per cell]
2 Hg 0.2500 0.7500 0.5000 [2 per cell]
3 P 0.2500 0.2500 0.6851 [2 per cell]
4 O 0.2500 0.7500 0.0000 [2 per cell]


7.
Below is crystalline SnHgPO at its relaxed geometry, with properties calculated at the PBE level.

Total DFT energy (no corrections) = -28.39 eV for the cell shown
Theoretical density = 6.294 g/cm³

a = 4.6759 Å, b = 4.6759 Å, c = 8.8394 Å
α = 90.00°, β = 90.00°, γ = 90.00°
Space group P4/nmm (No. 129, origin choice 2)
Symmetry-distinct sites (fractional):
1 Sn 0.2500 0.7500 0.0000 [2 per cell]
2 Hg 0.2500 0.2500 0.4631 [2 per cell]
3 P 0.2500 0.2500 0.1455 [2 per cell]
4 O 0.2500 0.7500 0.5000 [2 per cell]


8.
Below is crystalline TaHgPO at its relaxed geometry, with properties calculated at the PBE level.

Total DFT energy (no corrections) = -49.54 eV for the cell shown
Size of the total moment = 0.3 μB per cell
Theoretical density = 10.336 g/cm³

a = 3.5565 Å, b = 3.5565 Å, c = 10.8850 Å
α = 90.00°, β = 90.00°, γ = 90.00°
Space group P4/nmm (No. 129, origin choice 2)
Symmetry-distinct sites (fractional):
1 Ta 0.2500 0.2500 0.1184 [2 per cell]
2 Hg 0.2500 0.7500 0.5000 [2 per cell]
3 P 0.2500 0.2500 0.7750 [2 per cell]
4 O 0.2500 0.7500 0.0000 [2 per cell]


9.
Below is crystalline TaHgPO at its relaxed geometry, with properties calculated at the PBE level.

Total DFT energy (no corrections) = -52.28 eV for the cell shown
Size of the total moment = 0.0 μB per cell
Theoretical density = 8.973 g/cm³

a = 3.7437 Å, b = 8.5005 Å, c = 4.9838 Å
α = 90.00°, β = 90.00°, γ = 90.00°
Space group Pmc2_1 (No. 26)
Symmetry-distinct sites (fractional):
1 Ta 0.0000 0.1160 0.0000 [2 per cell]
2 Hg 0.5000 0.4143 0.5074 [2 per cell]
3 P 0.0000 0.1694 0.4996 [2 per cell]
4 O 0.5000 0.1757 0.0000 [2 per cell]


10.
Below is crystalline TaHgPO at its relaxed geometry, with properties calculated at the PBE level.

Total DFT energy (no corrections) = -51.94 eV for the cell shown
Size of the total moment = 0.0 μB per cell
Theoretical density = 8.302 g/cm³

a = 3.5083 Å, b = 6.7826 Å, c = 7.2040 Å
α = 90.00°, β = 90.00°, γ = 90.00°
Space group Pmc2_1 (No. 26)
Symmetry-distinct sites (fractional):
1 Ta 0.0000 0.0970 0.0000 [2 per cell]
2 Hg 0.5000 0.2864 0.5386 [2 per cell]
3 P 0.5000 0.3333 0.9634 [2 per cell]
4 O 0.0000 0.0271 0.2596 [2 per cell]


11.
Below is crystalline TaHgPO at its relaxed geometry, with properties calculated at the PBE level.

Total DFT energy (no corrections) = -46.69 eV for the cell shown
Size of the total moment = 0.0 μB per cell
Theoretical density = 11.904 g/cm³

a = 4.9057 Å, b = 4.9057 Å, c = 4.9676 Å
α = 90.00°, β = 90.00°, γ = 90.00°
Space group P4/nmm (No. 129, origin choice 2)
Symmetry-distinct sites (fractional):
1 Ta 0.2500 0.7500 0.0000 [2 per cell]
2 Hg 0.2500 0.2500 0.3566 [2 per cell]
3 P 0.2500 0.2500 0.8436 [2 per cell]
4 O 0.2500 0.7500 0.5000 [2 per cell]


12.
Below is crystalline TcHgPO at its relaxed geometry, with properties calculated at the PBE level.

Total DFT energy (no corrections) = -42.55 eV for the cell shown
Size of the total moment = 0.2 μB per cell
Theoretical density = 7.392 g/cm³

a = 4.1302 Å, b = 4.1302 Å, c = 9.1009 Å
α = 90.00°, β = 90.00°, γ = 90.00°
Space group P4/nmm (No. 129, origin choice 2)
Symmetry-distinct sites (fractional):
1 Tc 0.2500 0.2500 0.0497 [2 per cell]
2 Hg 0.2500 0.7500 0.5000 [2 per cell]
3 P 0.2500 0.2500 0.2828 [2 per cell]
4 O 0.2500 0.7500 0.0000 [2 per cell]


13.
Below is crystalline TcHgPO at its relaxed geometry, with properties calculated at the PBE level.

Total DFT energy (no corrections) = -45.24 eV for the cell shown
Size of the total moment = 0.0 μB per cell
Theoretical density = 7.670 g/cm³

a = 3.0948 Å, b = 6.6368 Å, c = 7.2846 Å
α = 90.00°, β = 90.00°, γ = 90.00°
Space group Pmc2_1 (No. 26)
Symmetry-distinct sites (fractional):
1 Tc 0.0000 0.0489 0.0000 [2 per cell]
2 Hg 0.5000 0.3377 0.5657 [2 per cell]
3 P 0.5000 0.2969 0.9335 [2 per cell]
4 O 0.0000 0.0474 0.2593 [2 per cell]


14.
Below is crystalline TcHgPO at its relaxed geometry, with properties calculated at the PBE level.

Total DFT energy (no corrections) = -41.90 eV for the cell shown
Size of the total moment = 0.7 μB per cell
Theoretical density = 9.041 g/cm³

a = 4.2356 Å, b = 4.2356 Å, c = 7.0759 Å
α = 90.00°, β = 90.00°, γ = 90.00°
Space group P4/nmm (No. 129, origin choice 2)
Symmetry-distinct sites (fractional):
1 Tc 0.2500 0.7500 0.0000 [2 per cell]
2 Hg 0.2500 0.2500 0.3659 [2 per cell]
3 P 0.2500 0.2500 0.8644 [2 per cell]
4 O 0.2500 0.7500 0.5000 [2 per cell]


15.
Below is crystalline TcHgPO at its relaxed geometry, with properties calculated at the PBE level.

Total DFT energy (no corrections) = -43.37 eV for the cell shown
Size of the total moment = 0.0 μB per cell
Theoretical density = 7.548 g/cm³

a = 3.7702 Å, b = 6.4814 Å, c = 6.2222 Å
α = 90.00°, β = 90.00°, γ = 90.00°
Space group Pmc2_1 (No. 26)
Symmetry-distinct sites (fractional):
1 Tc 0.0000 0.2172 0.0000 [2 per cell]
2 Hg 0.5000 0.3271 0.5325 [2 per cell]
3 P 0.0000 0.0949 0.3412 [2 per cell]
4 O 0.5000 0.2473 0.9878 [2 per cell]


16.
Below is crystalline TlHgPO4 at its relaxed geometry, with properties calculated at the PBE level.

Total DFT energy (no corrections) = -150.40 eV for the cell shown
Theoretical density = 7.471 g/cm³

a = 6.7751 Å, b = 10.0797 Å, c = 6.5087 Å
α = 90.00°, β = 90.00°, γ = 90.00°
Space group Cmcm (No. 63)
Symmetry-distinct sites (fractional):
1 Tl 0.0000 0.0000 0.0000 [4 per cell]
2 Hg 0.0000 0.3213 0.2500 [4 per cell]
3 P 0.0000 0.3712 0.7500 [4 per cell]
4 O 0.0000 0.2705 0.5639 [8 per cell]
5 O 0.1850 0.4593 0.7500 [8 per cell]


17.
Below is crystalline TmHgPO at its relaxed geometry, with properties calculated at the PBE level.

Total DFT energy (no corrections) = -42.17 eV for the cell shown
Size of the total moment = 0.0 μB per cell
Theoretical density = 9.592 g/cm³

a = 4.0318 Å, b = 4.0318 Å, c = 8.8709 Å
α = 90.00°, β = 90.00°, γ = 90.00°
Space group P4/nmm (No. 129, origin choice 2)
Symmetry-distinct sites (fractional):
1 Tm 0.2500 0.2500 0.1123 [2 per cell]
2 Hg 0.2500 0.7500 0.5000 [2 per cell]
3 P 0.2500 0.2500 0.7093 [2 per cell]
4 O 0.2500 0.7500 0.0000 [2 per cell]


18.
Below is crystalline TmHgPO at its relaxed geometry, with properties calculated at the PBE level.

Total DFT energy (no corrections) = -40.65 eV for the cell shown
Size of the total moment = 0.0 μB per cell
Theoretical density = 8.532 g/cm³

a = 4.0203 Å, b = 6.1622 Å, c = 6.5444 Å
α = 90.00°, β = 90.00°, γ = 90.00°
Space group Pmc2_1 (No. 26)
Symmetry-distinct sites (fractional):
1 Tm 0.0000 0.0284 0.0000 [2 per cell]
2 Hg 0.5000 0.4349 0.4145 [2 per cell]
3 P 0.5000 0.2086 0.7402 [2 per cell]
4 O 0.0000 0.2199 0.2707 [2 per cell]


19.
Below is crystalline TmHgPO at its relaxed geometry, with properties calculated at the PBE level.

Total DFT energy (no corrections) = -19.71 eV for the cell shown
Size of the total moment = 0.0 μB per cell
Theoretical density = 9.151 g/cm³

a = 4.0241 Å, b = 4.0241 Å, c = 4.6669 Å
α = 90.00°, β = 90.00°, γ = 90.00°
Space group P4/mmm (No. 123)
Symmetry-distinct sites (fractional):
1 Tm 0.0000 0.0000 0.0000 [1 per cell]
2 Hg 0.5000 0.5000 0.5000 [1 per cell]
3 P 0.5000 0.5000 0.0000 [1 per cell]
4 O 0.0000 0.0000 0.5000 [1 per cell]


20.
Below is crystalline TmHgPO at its relaxed geometry, with properties calculated at the PBE level.

Total DFT energy (no corrections) = -40.61 eV for the cell shown
Size of the total moment = 0.0 μB per cell
Theoretical density = 8.231 g/cm³

a = 4.1946 Å, b = 6.8103 Å, c = 5.8826 Å
α = 90.00°, β = 90.00°, γ = 90.00°
Space group Pmc2_1 (No. 26)
Symmetry-distinct sites (fractional):
1 Tm 0.0000 0.2009 0.0000 [2 per cell]
2 Hg 0.5000 0.3773 0.5024 [2 per cell]
3 P 0.0000 0.2000 0.4998 [2 per cell]
4 O 0.5000 0.2786 0.0005 [2 per cell]


21.
Below is crystalline YHgPO at its relaxed geometry, with properties calculated at the PBE level.

Total DFT energy (no corrections) = -46.08 eV for the cell shown
Size of the total moment = 0.0 μB per cell
Theoretical density = 7.525 g/cm³

a = 4.0784 Å, b = 4.0784 Å, c = 8.9273 Å
α = 90.00°, β = 90.00°, γ = 90.00°
Space group P4/nmm (No. 129, origin choice 2)
Symmetry-distinct sites (fractional):
1 Y 0.2500 0.2500 0.1161 [2 per cell]
2 Hg 0.2500 0.7500 0.5000 [2 per cell]
3 P 0.2500 0.2500 0.7053 [2 per cell]
4 O 0.2500 0.7500 0.0000 [2 per cell]


22.
Below is crystalline YHgPO at its relaxed geometry, with properties calculated at the PBE level.

Total DFT energy (no corrections) = -44.52 eV for the cell shown
Size of the total moment = 0.0 μB per cell
Theoretical density = 6.581 g/cm³

a = 4.3663 Å, b = 6.5475 Å, c = 5.9395 Å
α = 90.00°, β = 90.00°, γ = 90.00°
Space group Pmc2_1 (No. 26)
Symmetry-distinct sites (fractional):
1 Y 0.0000 0.2187 0.0000 [2 per cell]
2 Hg 0.5000 0.3554 0.5604 [2 per cell]
3 P 0.0000 0.2085 0.4911 [2 per cell]
4 O 0.5000 0.2790 0.0051 [2 per cell]


23.
Below is crystalline YHgPO at its relaxed geometry, with properties calculated at the PBE level.

Total DFT energy (no corrections) = -44.43 eV for the cell shown
Size of the total moment = 0.0 μB per cell
Theoretical density = 6.684 g/cm³

a = 4.0723 Å, b = 6.1728 Å, c = 6.6505 Å
α = 90.00°, β = 90.00°, γ = 90.00°
Space group Pmc2_1 (No. 26)
Symmetry-distinct sites (fractional):
1 Y 0.0000 0.0342 0.0000 [2 per cell]
2 Hg 0.5000 0.4358 0.4172 [2 per cell]
3 P 0.5000 0.2128 0.7378 [2 per cell]
4 O 0.0000 0.2223 0.2739 [2 per cell]


24.
Below is crystalline YHgPO at its relaxed geometry, with properties calculated at the PBE level.

Total DFT energy (no corrections) = -43.49 eV for the cell shown
Size of the total moment = 0.0 μB per cell
Theoretical density = 7.126 g/cm³

a = 5.7826 Å, b = 5.7826 Å, c = 4.6897 Å
α = 90.00°, β = 90.00°, γ = 90.00°
Space group P4/nmm (No. 129, origin choice 2)
Symmetry-distinct sites (fractional):
1 Y 0.2500 0.7500 0.0000 [2 per cell]
2 Hg 0.2500 0.2500 0.4989 [2 per cell]
3 P 0.2500 0.2500 0.9990 [2 per cell]
4 O 0.2500 0.7500 0.5000 [2 per cell]